1.
K4LiPa3S8: relaxed, GGA-PBE. Values from VASP.

Quantum ESPRESSO input file:
```
&SYSTEM
  ibrav = 0, nat = 16, ntyp = 4
/
ATOMIC_SPECIES
K 39.10 K.upf
Li 6.94 Li.upf
Pa 231.04 Pa.upf
S 32.06 S.upf
CELL_PARAMETERS angstrom
-6.4777 4.8498 -0.4846
-0.2898 -1.2516 -8.6514
-0.1974 -6.5635 4.7560
ATOMIC_POSITIONS crystal
K 0.5000 0.0000 0.0000
K 0.5000 0.0000 0.5000
K 0.0000 0.0000 0.0000
K 0.0000 0.0000 0.5000
Li 0.0000 0.5000 0.0000
Pa 0.5000 0.5000 0.0000
Pa 0.5000 0.5000 0.5000
Pa 0.0000 0.5000 0.5000
S 0.2379 0.7010 0.9631
S 0.2381 0.7012 0.4762
S 0.2652 0.2956 0.5304
S 0.7252 0.7010 0.9631
S 0.2748 0.2990 0.0369
S 0.7348 0.7044 0.4696
S 0.7619 0.2988 0.5238
S 0.7621 0.2990 0.0369
```

Calculated values
* density of states at the Fermi level: 1.06 states/eV/atom
* space-group type: No. 166
* uncorrected energy: -91.697 eV for the cell shown
* formation energy (no corrections): -1.4928 eV/atom

---

2.
K3LiPa2Se6: relaxed, GGA-PBE. Values from VASP.

Quantum ESPRESSO input file:
```
&SYSTEM
  ibrav = 0, nat = 12, ntyp = 4
/
ATOMIC_SPECIES
K 39.10 K.upf
Li 6.94 Li.upf
Pa 231.04 Pa.upf
Se 78.96 Se.upf
CELL_PARAMETERS angstrom
7.3508 -0.0019 0.0029
-3.6753 6.3661 0.0029
-1.2230 -2.1176 7.6523
ATOMIC_POSITIONS crystal
K 0.1619 0.8381 0.5000
K 0.8381 0.1619 0.5000
K 0.5000 0.5000 0.5000
Li 0.0000 0.0000 0.0000
Pa 0.3329 0.6671 0.0000
Pa 0.6671 0.3329 0.0000
Se 0.9316 0.5870 0.7949
Se 0.7241 0.7241 0.2033
Se 0.0684 0.4130 0.2051
Se 0.5870 0.9316 0.7949
Se 0.2759 0.2759 0.7967
Se 0.4130 0.0684 0.2051
```

Calculated values
* density of states at the Fermi level: 1.00 states/eV/atom
* space-group type: No. 12
* uncorrected energy: -61.641 eV for the cell shown
* formation energy (no corrections): -1.3780 eV/atom

---

3.
K4LiPa3Se8: relaxed, GGA-PBE. Values from VASP.

Quantum ESPRESSO input file:
```
&SYSTEM
  ibrav = 0, nat = 16, ntyp = 4
/
ATOMIC_SPECIES
K 39.10 K.upf
Li 6.94 Li.upf
Pa 231.04 Pa.upf
Se 78.96 Se.upf
CELL_PARAMETERS angstrom
-8.0491 2.5005 -0.3024
-2.7230 -8.6272 1.1416
5.2098 3.2466 5.7857
ATOMIC_POSITIONS crystal
K 0.5000 0.0000 0.0000
K 0.5000 0.0000 0.5000
K 0.0000 0.0000 0.0000
K 0.0000 0.0000 0.5000
Li 0.0000 0.5000 0.0000
Pa 0.5000 0.5000 0.0000
Pa 0.5000 0.5000 0.5000
Pa 0.0000 0.5000 0.5000
Se 0.2374 0.7039 0.9664
Se 0.2377 0.7042 0.4753
Se 0.2635 0.2903 0.5269
Se 0.7290 0.7039 0.9664
Se 0.2710 0.2961 0.0336
Se 0.7365 0.7097 0.4731
Se 0.7623 0.2958 0.5247
Se 0.7626 0.2961 0.0336
```

Calculated values
* density of states at the Fermi level: 1.12 states/eV/atom
* space-group type: No. 166
* uncorrected energy: -84.325 eV for the cell shown
* formation energy (no corrections): -1.3536 eV/atom

---

4.
K2LiPa2Se6: relaxed, GGA-PBE. Values from VASP.

Quantum ESPRESSO input file:
```
&SYSTEM
  ibrav = 0, nat = 11, ntyp = 4
/
ATOMIC_SPECIES
K 39.10 K.upf
Li 6.94 Li.upf
Pa 231.04 Pa.upf
Se 78.96 Se.upf
CELL_PARAMETERS angstrom
7.2646 -0.0664 0.0979
-3.6484 6.2824 0.0979
-1.2524 -2.1527 7.7311
ATOMIC_POSITIONS crystal
K 0.8398 0.1602 0.0000
K 0.1602 0.8398 0.0000
Li 0.0000 0.0000 0.5000
Pa 0.3346 0.6654 0.5000
Pa 0.6654 0.3346 0.5000
Se 0.7199 0.7199 0.6965
Se 0.0611 0.4122 0.6992
Se 0.2801 0.2801 0.3035
Se 0.4122 0.0611 0.6992
Se 0.9389 0.5878 0.3008
Se 0.5878 0.9389 0.3008
```

Calculated values
* density of states at the Fermi level: 0.84 states/eV/atom
* space-group type: No. 12
* uncorrected energy: -59.323 eV for the cell shown
* formation energy (no corrections): -1.3922 eV/atom

---

5.
K3LiPa2Te6: relaxed, GGA-PBE. Values from VASP.

Quantum ESPRESSO input file:
```
&SYSTEM
  ibrav = 0, nat = 12, ntyp = 4
/
ATOMIC_SPECIES
K 39.10 K.upf
Li 6.94 Li.upf
Pa 231.04 Pa.upf
Te 127.60 Te.upf
CELL_PARAMETERS angstrom
-1.6389 -5.9277 -4.8183
1.2636 -1.3674 7.5877
-7.8982 3.4140 0.5929
ATOMIC_POSITIONS crystal
K 0.1637 0.8363 0.5000
K 0.8363 0.1637 0.5000
K 0.5000 0.5000 0.5000
Li 0.0000 0.0000 0.0000
Pa 0.3330 0.6670 0.0000
Pa 0.6670 0.3330 0.0000
Te 0.9306 0.5902 0.7921
Te 0.7290 0.7290 0.2069
Te 0.0694 0.4098 0.2079
Te 0.5902 0.9306 0.7921
Te 0.2710 0.2710 0.7931
Te 0.4098 0.0694 0.2079
```

Calculated values
* density of states at the Fermi level: 1.00 states/eV/atom
* space-group type: No. 12
* uncorrected energy: -55.087 eV for the cell shown
* formation energy (no corrections): -1.0032 eV/atom

---

6.
K2LiPa2Te6: relaxed, GGA-PBE. Values from VASP.

Quantum ESPRESSO input file:
```
&SYSTEM
  ibrav = 0, nat = 11, ntyp = 4
/
ATOMIC_SPECIES
K 39.10 K.upf
Li 6.94 Li.upf
Pa 231.04 Pa.upf
Te 127.60 Te.upf
CELL_PARAMETERS angstrom
7.6928 -0.0350 0.0895
-3.8326 6.6702 0.0895
-1.3526 -2.3250 8.3035
ATOMIC_POSITIONS crystal
K 0.8365 0.1635 0.0000
K 0.1635 0.8365 0.0000
Li 0.0000 0.0000 0.5000
Pa 0.3335 0.6665 0.5000
Pa 0.6665 0.3335 0.5000
Te 0.7199 0.7199 0.7051
Te 0.0668 0.4079 0.7030
Te 0.2801 0.2801 0.2949
Te 0.4079 0.0668 0.7030
Te 0.9332 0.5921 0.2970
Te 0.5921 0.9332 0.2970
```

Calculated values
* density of states at the Fermi level: 0.81 states/eV/atom
* space-group type: No. 12
* uncorrected energy: -52.567 eV for the cell shown
* formation energy (no corrections): -0.9651 eV/atom

---

7.
K3LiPa3Te8: relaxed, GGA-PBE. Values from VASP.

Quantum ESPRESSO input file:
```
&SYSTEM
  ibrav = 0, nat = 15, ntyp = 4
/
ATOMIC_SPECIES
K 39.10 K.upf
Li 6.94 Li.upf
Pa 231.04 Pa.upf
Te 127.60 Te.upf
CELL_PARAMETERS angstrom
8.8928 -0.0001 0.0001
-4.4464 7.7002 -0.0298
0.0001 -5.1000 8.3894
ATOMIC_POSITIONS crystal
K 0.0000 0.0000 0.0000
K 0.0000 0.5000 0.0000
K 0.5000 0.5000 0.0000
Li 0.0000 0.0000 0.5000
Pa 0.5000 0.0000 0.5000
Pa 0.5000 0.5000 0.5000
Pa 0.0000 0.5000 0.5000
Te 0.2621 0.5242 0.2863
Te 0.7379 0.4758 0.7137
Te 0.7617 0.5234 0.2961
Te 0.2383 0.4766 0.7039
Te 0.7616 0.0344 0.2960
Te 0.2384 0.9656 0.7040
Te 0.2728 0.0344 0.2960
Te 0.7272 0.9656 0.7040
```

Calculated values
* density of states at the Fermi level: 1.03 states/eV/atom
* space-group type: No. 166
* uncorrected energy: -72.973 eV for the cell shown
* formation energy (no corrections): -0.9430 eV/atom

---

8.
KLiPaTe3: relaxed, GGA-PBE. Values from VASP.

Quantum ESPRESSO input file:
```
&SYSTEM
  ibrav = 0, nat = 12, ntyp = 4
/
ATOMIC_SPECIES
K 39.10 K.upf
Li 6.94 Li.upf
Pa 231.04 Pa.upf
Te 127.60 Te.upf
CELL_PARAMETERS angstrom
4.4889 0.0000 0.0000
0.0000 9.7487 -0.2225
0.0000 -2.7936 9.8399
ATOMIC_POSITIONS crystal
K 0.2500 0.2019 0.2523
K 0.7500 0.7981 0.7477
Li 0.2500 0.0800 0.5946
Li 0.7500 0.9200 0.4054
Pa 0.2500 0.6758 0.1545
Pa 0.7500 0.3242 0.8455
Te 0.7500 0.8819 0.1256
Te 0.2500 0.1181 0.8744
Te 0.2500 0.7825 0.4624
Te 0.7500 0.2175 0.5376
Te 0.7500 0.4576 0.1636
Te 0.2500 0.5424 0.8364
```

Calculated values
* density of states at the Fermi level: 0.94 states/eV/atom
* space-group type: No. 11
* uncorrected energy: -55.723 eV for the cell shown
* formation energy (no corrections): -0.9882 eV/atom